# Co2AsPb

A relaxed structure of Co2AsPb (PBE, the Alexandria database).

abc: 6.2313 6.2313 6.2313
angles: 36.71 36.71 36.71
Atoms (fractional coordinates):
Co: 0.0000 0.0000 0.0000
Co: 0.3132 0.3132 0.3132
As: 0.5944 0.5944 0.5944
Pb: 0.7752 0.7752 0.7752

Computed properties:
Relative energy among the computed polymorphs, eV per formula unit: 0.17
Spin magnetization, μB/cell: 2.95
DFT formation energy, meV/atom: 156

# HfFe3Sb

A relaxed structure of HfFe3Sb (PBE, the Alexandria database).

abc: 4.6131 4.6131 4.6131
angles: 90.00 90.00 90.00
Atoms (fractional coordinates):
Hf: 0.0000 0.0000 0.0000
Fe: 0.0000 0.5000 0.5000
Fe: 0.5000 0.0000 0.5000
Fe: 0.5000 0.5000 0.0000
Sb: 0.5000 0.5000 0.5000

Computed properties:
Relative energy among the computed polymorphs, eV per formula unit: 0.00
Spin magnetization, μB/cell: 5.71
Formation energy (no corrections), eV per formula unit: 5.29

# TaBRu3

A relaxed structure of TaBRu3 (PBE, the Alexandria database).

abc: 7.5853 4.7644 8.9761
angles: 90.00 122.20 90.00
Atoms (fractional coordinates):
Ta: 0.1333 0.2263 0.0433
Ta: 0.1333 0.2737 0.5433
Ta: 0.8667 0.7263 0.4567
Ta: 0.8667 0.7737 0.9567
B: 0.3520 0.6808 0.5688
B: 0.3520 0.8192 0.0688
B: 0.6480 0.1808 0.9312
B: 0.6480 0.3192 0.4312
Ru: 0.1187 0.6011 0.8292
Ru: 0.1187 0.8989 0.3292
Ru: 0.3192 0.0945 0.8663
Ru: 0.3192 0.4055 0.3663
Ru: 0.4868 0.5772 0.8356
Ru: 0.4868 0.9228 0.3356
Ru: 0.5132 0.0772 0.6644
Ru: 0.5132 0.4228 0.1644
Ru: 0.6808 0.5945 0.6337
Ru: 0.6808 0.9055 0.1337
Ru: 0.8813 0.1011 0.6708
Ru: 0.8813 0.3989 0.1708

Computed properties:
Spin magnetization, μB/cell: 0.00
DFT formation energy, meV/atom: -60

Calculated final energy, -5.49 -6.84 -9.33 eV per atom (same order as the records).
Calculated volume, 77.4 98.2 68.6 Å³/f.u. (same order as the records).